# 1
PrSmSc2 after structural relaxation, computed with PBE.

Relative energy among the computed polymorphs = 29 meV/atom

a b c (Å): 3.4973 3.4973 33.3182
angles (deg): 90.00 90.00 120.00
With the nearest neighbours (Å) after each atom.
Space group R3m (No. 160, hexagonal axes)
One atom of each set of equivalent atoms:
Pr 0.0000 0.0000 0.0000  6 Sc 3.44, 6 Pr 3.50
Sm 0.0000 0.0000 0.8337  6 Sc 3.42-3.43, 6 Sm 3.50
Sc 0.0000 0.0000 0.4171  3 Sm 3.43, 3 Pr 3.44, 6 Sc 3.50
Sc 0.0000 0.0000 0.5832  3 Sm 3.42, 3 Pr 3.44, 6 Sc 3.50

# 2
Pr2SmSc after structural relaxation, computed with PBE.

Relative energy among the computed polymorphs = 4 meV/atom

a b c (Å): 3.6385 3.6385 9.8068
angles (deg): 90.00 90.00 90.00
With the nearest neighbours (Å) after each atom.
Space group P4/mmm (No. 123)
One atom of each set of equivalent atoms:
Pr 0.0000 0.0000 0.2353  4 Sc 3.46, 4 Pr 3.64, 4 Sm 3.65
Sm 0.5000 0.5000 0.5000  4 Sm 3.64, 8 Pr 3.65
Sc 0.5000 0.5000 0.0000  8 Pr 3.46, 4 Sc 3.64

# 3
Pr2SmSc after structural relaxation, computed with PBE.

Relative energy among the computed polymorphs = 5 meV/atom

a b c (Å): 12.2678 7.2052 6.1547
angles (deg): 90.00 107.79 90.00
With the nearest neighbours (Å) after each atom.
Space group C2/m (No. 12)
One atom of each set of equivalent atoms:
Pr 0.1253 0.2465 0.2493  4 Sc 3.53-3.58, 4 Sm 3.54-3.61, 4 Pr 3.55-3.65
Sm 0.1257 0.5000 0.7552  8 Pr 3.54-3.61, 3 Sc 3.60-3.64, 1 Sm 3.67
Sc 0.1225 0.0000 0.7427  8 Pr 3.53-3.58, 1 Sc 3.53, 3 Sm 3.60-3.64

# 4
Pr5Sm6Sc2 after structural relaxation, computed with PBE.

Total energy = -4.85 eV/atom

a b c (Å): 10.9147 22.7288 3.5508
angles (deg): 90.00 90.00 90.00
With the nearest neighbours (Å) after each atom.
Space group Pbam (No. 55)
One atom of each set of equivalent atoms:
Pr 0.0000 0.0000 0.0000  4 Pr 3.55-3.64, 6 Sm 3.55-3.65
Pr 0.0865 0.2520 0.0000  4 Sc 3.29, 2 Pr 3.55, 5 Sm 3.57-3.66
Pr 0.1671 0.5076 0.0000  4 Pr 3.55-3.66, 7 Sm 3.60-3.82
Sm 0.0309 0.3864 0.5000  1 Sc 3.39, 2 Sm 3.55, 6 Pr 3.59-3.69
Sm 0.1388 0.1179 0.5000  1 Sc 3.33, 2 Sm 3.55, 4 Pr 3.55-3.57
Sm 0.1649 0.8602 0.0000  2 Sc 3.46, 6 Sm 3.55-3.81, 4 Pr 3.65-3.82
Sc 0.1639 0.7295 0.5000  4 Pr 3.29, 4 Sm 3.33-3.46, 2 Sc 3.55

no.,magnetic moment (μB per atom)
1,0.000
2,0.000
3,0.000
4,0.000